No. 1
DFT (PBE-GGA) results for a geometry-optimized BaInNiP structure.

a b c (Å): 4.113 4.113 12.044
angles (deg): 90.00 90.00 90.00
Space group P4/nmm (No. 129, origin choice 2)
Asymmetric unit:
Ba 0.250 0.250 0.220 x2
In 0.250 0.750 0.500 x2
Ni 0.250 0.750 0.000 x2
P 0.250 0.250 0.913 x2

Computed properties:
Formation energy from the elements: -571 meV/atom
N(E_F): 0.8523 states/eV per atom
DFT total energy: -4.53 eV per atom



No. 2
DFT (PBE-GGA) results for a geometry-optimized Ba2InNiPb structure.

a b c (Å): 5.896 5.896 5.033
angles (deg): 90.00 90.00 90.00
Space group P4/mmm (No. 123)
Asymmetric unit:
Ba 0.000 0.500 0.000 x2
In 0.000 0.000 0.500 x1
Ni 0.000 0.000 0.000 x1
Pb 0.500 0.500 0.500 x1

Computed properties:
Formation energy from the elements: -247 meV/atom
N(E_F): 0.7181 states/eV per atom
DFT total energy: -3.46 eV per atom



No. 3
DFT (PBE-GGA) results for a geometry-optimized BaInNiPb2 structure.

a b c (Å): 5.342 5.342 5.140
angles (deg): 90.00 90.00 90.00
Space group P4/mmm (No. 123)
Asymmetric unit:
Ba 0.000 0.000 0.000 x1
In 0.500 0.500 0.000 x1
Ni 0.500 0.500 0.500 x1
Pb 0.000 0.500 0.500 x2

Computed properties:
Formation energy from the elements: -155 meV/atom
N(E_F): 0.9041 states/eV per atom
DFT total energy: -3.73 eV per atom